# InNi2W

InNi2W at its PBEsol-relaxed geometry (SCAN, Alexandria).

```
InNi2W
1.0
2.891 0.000 0.000
0.000 4.259 0.000
0.000 0.000 4.639
In Ni W
1 2 1
direct
0.000 0.000 0.000
0.000 0.500 0.500
0.500 0.500 0.000
0.500 0.000 0.500
```

Results
ΔE_f, kJ/mol of atoms: 50